Entry 1:
PrHo2In2Ag2 after structural relaxation. Source: the Alexandria database, functional PBE.

Results
The calculation puts the spin magnetization at 0.0 μB/f.u. Its symmetry is R-3m, No. 166. As for the density of states at the Fermi level: 0.71 states/eV/atom. Its calculated total energy is -27.2 eV/cell. Its theoretical density is 8.2 g/cm3.

abc: 9.372 9.372 9.372
angles: 30.25 30.25 30.25
Atoms (fractional coordinates):
Pr: 0.000 0.000 0.000
Ho: 0.128 0.128 0.128
Ho: 0.872 0.872 0.872
In: 0.257 0.257 0.257
In: 0.743 0.743 0.743
Ag: 0.410 0.410 0.410
Ag: 0.590 0.590 0.590



Entry 2:
HoInAgPt after structural relaxation. Source: the Alexandria database, functional PBE.

Results
The calculation puts the spin magnetization at 0.0 μB/f.u. Its symmetry is F-43m, No. 216. As for the density of states at the Fermi level: 0.54 states/eV/atom. Its calculated total energy is -75.4 eV/cell. Its theoretical density is 11.9 g/cm3.

abc: 6.872 6.872 6.872
angles: 90.00 90.00 90.00
Atoms (fractional coordinates):
Ho: 0.000 0.000 0.000
Ho: 0.000 0.500 0.500
Ho: 0.500 0.000 0.500
Ho: 0.500 0.500 0.000
In: 0.000 0.000 0.500
In: 0.000 0.500 0.000
In: 0.500 0.000 0.000
In: 0.500 0.500 0.500
Ag: 0.250 0.250 0.750
Ag: 0.250 0.750 0.250
Ag: 0.750 0.250 0.250
Ag: 0.750 0.750 0.750
Pt: 0.250 0.250 0.250
Pt: 0.250 0.750 0.750
Pt: 0.750 0.250 0.750
Pt: 0.750 0.750 0.250



Entry 3:
HoPuInAg after structural relaxation. Source: the Alexandria database, functional PBE.

Results
The calculation puts the spin magnetization at 5.7 μB/f.u. Its symmetry is F-43m, No. 216. As for the density of states at the Fermi level: 2.46 states/eV/atom. Its calculated total energy is -100.4 eV/cell. Its theoretical density is 10.1 g/cm3.

abc: 7.453 7.453 7.453
angles: 90.00 90.00 90.00
Atoms (fractional coordinates):
Ho: 0.000 0.000 0.000
Ho: 0.000 0.500 0.500
Ho: 0.500 0.000 0.500
Ho: 0.500 0.500 0.000
Pu: 0.000 0.000 0.500
Pu: 0.000 0.500 0.000
Pu: 0.500 0.000 0.000
Pu: 0.500 0.500 0.500
In: 0.250 0.250 0.750
In: 0.250 0.750 0.250
In: 0.750 0.250 0.250
In: 0.750 0.750 0.750
Ag: 0.250 0.250 0.250
Ag: 0.250 0.750 0.750
Ag: 0.750 0.250 0.750
Ag: 0.750 0.750 0.250



Entry 4:
Ho4InAg2Rh after structural relaxation. Source: the Alexandria database, functional PBE.

Results
The calculation puts the spin magnetization at 0.0 μB/f.u. Its symmetry is R-3m, No. 166. As for the density of states at the Fermi level: 0.42 states/eV/atom. Its calculated total energy is -38.3 eV/cell. Its theoretical density is 9.7 g/cm3.

abc: 8.774 8.774 8.774
angles: 33.80 33.80 33.80
Atoms (fractional coordinates):
Ho: 0.115 0.115 0.115
Ho: 0.368 0.368 0.368
Ho: 0.632 0.632 0.632
Ho: 0.885 0.885 0.885
In: 0.500 0.500 0.500
Ag: 0.241 0.241 0.241
Ag: 0.759 0.759 0.759
Rh: 0.000 0.000 0.000



Entry 5:
HoInAgRh after structural relaxation. Source: the Alexandria database, functional PBE.

Results
The calculation puts the spin magnetization at 0.0 μB/f.u. Its symmetry is F-43m, No. 216. As for the density of states at the Fermi level: 0.75 states/eV/atom. Its calculated total energy is -77.8 eV/cell. Its theoretical density is 10.3 g/cm3.

abc: 6.809 6.809 6.809
angles: 90.00 90.00 90.00
Atoms (fractional coordinates):
Ho: 0.000 0.000 0.000
Ho: 0.000 0.500 0.500
Ho: 0.500 0.000 0.500
Ho: 0.500 0.500 0.000
In: 0.000 0.000 0.500
In: 0.000 0.500 0.000
In: 0.500 0.000 0.000
In: 0.500 0.500 0.500
Ag: 0.250 0.250 0.750
Ag: 0.250 0.750 0.250
Ag: 0.750 0.250 0.250
Ag: 0.750 0.750 0.750
Rh: 0.250 0.250 0.250
Rh: 0.250 0.750 0.750
Rh: 0.750 0.250 0.750
Rh: 0.750 0.750 0.250



Entry 6:
Ho4InAg2Ru after structural relaxation. Source: the Alexandria database, functional PBE.

Results
The calculation puts the spin magnetization at 0.0 μB/f.u. Its symmetry is R-3m, No. 166. As for the density of states at the Fermi level: 0.52 states/eV/atom. Its calculated total energy is -39.4 eV/cell. Its theoretical density is 9.8 g/cm3.

abc: 8.764 8.764 8.764
angles: 33.79 33.79 33.79
Atoms (fractional coordinates):
Ho: 0.114 0.114 0.114
Ho: 0.367 0.367 0.367
Ho: 0.633 0.633 0.633
Ho: 0.886 0.886 0.886
In: 0.500 0.500 0.500
Ag: 0.242 0.242 0.242
Ag: 0.758 0.758 0.758
Ru: 0.000 0.000 0.000



Which of these has the highest spin magnetization? HoPuInAg